# Sr3FeHg PBE-GGA optimized geometry
data_Sr3FeHg
_space_group_name_H-M_alt 'P m -3 m'
_space_group_IT_number 221
_space_group_name_Hall '-P 4 2 3'
_cell_length_a 6.152
_cell_length_b 6.152
_cell_length_c 6.152
_cell_angle_alpha 90.00
_cell_angle_beta 90.00
_cell_angle_gamma 90.00
loop_
_atom_site_label
_atom_site_fract_x
_atom_site_fract_y
_atom_site_fract_z
Sr1 0.000 0.000 0.500
Fe1 0.500 0.500 0.500
Hg1 0.000 0.000 0.000
# electronic total energy	-11.1	eV for the cell shown

***

# SrFeHg4 PBE-GGA optimized geometry
data_SrFeHg4
_space_group_name_H-M_alt 'F -4 3 m'
_space_group_IT_number 216
_space_group_name_Hall 'F -4 2 3'
_cell_length_a 8.456
_cell_length_b 8.456
_cell_length_c 8.456
_cell_angle_alpha 90.00
_cell_angle_beta 90.00
_cell_angle_gamma 90.00
loop_
_atom_site_label
_atom_site_fract_x
_atom_site_fract_y
_atom_site_fract_z
Sr1 0.000 0.000 0.000
Fe1 0.250 0.250 0.750
Hg1 0.124 0.124 0.376
# electronic total energy	-39.7	eV for the cell shown

***

# Sr2FeHg PBE-GGA optimized geometry
data_Sr2FeHg
_space_group_name_H-M_alt 'F -4 3 m'
_space_group_IT_number 216
_space_group_name_Hall 'F -4 2 3'
_cell_length_a 7.586
_cell_length_b 7.586
_cell_length_c 7.586
_cell_angle_alpha 90.00
_cell_angle_beta 90.00
_cell_angle_gamma 90.00
loop_
_atom_site_label
_atom_site_fract_x
_atom_site_fract_y
_atom_site_fract_z
Sr1 0.000 0.000 0.000
Sr2 0.250 0.250 0.250
Fe1 0.000 0.000 0.500
Hg1 0.250 0.250 0.750
# offset from the most stable computed form	293	meV per atom

***

# SrFe3Hg PBE-GGA optimized geometry
data_SrFe3Hg
_space_group_name_H-M_alt 'P m -3 m'
_space_group_IT_number 221
_space_group_name_Hall '-P 4 2 3'
_cell_length_a 4.815
_cell_length_b 4.815
_cell_length_c 4.815
_cell_angle_alpha 90.00
_cell_angle_beta 90.00
_cell_angle_gamma 90.00
loop_
_atom_site_label
_atom_site_fract_x
_atom_site_fract_y
_atom_site_fract_z
Sr1 0.000 0.000 0.000
Fe1 0.000 0.000 0.500
Hg1 0.500 0.500 0.500
# offset from the most stable computed form	1024	meV per atom

***

# SrFe3Hg PBE-GGA optimized geometry
data_SrFe3Hg
_space_group_name_H-M_alt 'P m -3 m'
_space_group_IT_number 221
_space_group_name_Hall '-P 4 2 3'
_cell_length_a 4.996
_cell_length_b 4.996
_cell_length_c 4.996
_cell_angle_alpha 90.00
_cell_angle_beta 90.00
_cell_angle_gamma 90.00
loop_
_atom_site_label
_atom_site_fract_x
_atom_site_fract_y
_atom_site_fract_z
Sr1 0.000 0.000 0.000
Fe1 0.000 0.500 0.500
Hg1 0.500 0.500 0.500
# offset from the most stable computed form	0	meV per atom

***

# Sr4FeHg PBE-GGA optimized geometry
data_Sr4FeHg
_space_group_name_H-M_alt 'F -4 3 m'
_space_group_IT_number 216
_space_group_name_Hall 'F -4 2 3'
_cell_length_a 10.188
_cell_length_b 10.188
_cell_length_c 10.188
_cell_angle_alpha 90.00
_cell_angle_beta 90.00
_cell_angle_gamma 90.00
loop_
_atom_site_label
_atom_site_fract_x
_atom_site_fract_y
_atom_site_fract_z
Sr1 0.125 0.125 0.125
Fe1 0.250 0.250 0.750
Hg1 0.000 0.000 0.500
# electronic total energy	-42.1	eV for the cell shown